(1)
# K5MgI8 | Alexandria | PBE | relaxed
# SG	I-4 (82)
# formation energy (no corrections)	-1.171	eV per atom
data_K5MgI8
_space_group_name_H-M_alt 'P 1'
_space_group_IT_number 1
_space_group_name_Hall 'P 1'
_cell_length_a 9.355
_cell_length_b 9.355
_cell_length_c 9.355
_cell_angle_alpha 112.25
_cell_angle_beta 104.04
_cell_angle_gamma 112.25
loop_
_atom_site_label
_atom_site_type_symbol
_atom_site_fract_x
_atom_site_fract_y
_atom_site_fract_z
_atom_site_occupancy
K1 K 0.018 0.402 0.150 1
K2 K 0.850 0.868 0.252 1
K3 K 0.748 0.598 0.617 1
K4 K 0.500 0.000 0.500 1
K5 K 0.383 0.132 0.982 1
Mg1 Mg 0.250 0.500 0.750 1
I1 I 0.143 0.709 0.952 1
I2 I 0.048 0.191 0.757 1
I3 I 0.734 0.220 0.329 1
I4 I 0.671 0.405 0.891 1
I5 I 0.486 0.595 0.266 1
I6 I 0.566 0.809 0.857 1
I7 I 0.243 0.291 0.434 1
I8 I 0.109 0.780 0.514 1

=====

(2)
# LaMgMo2 | Alexandria | PBE | relaxed
# ΔH_f (0 K)	587	meV/atom
# SG	P4/mmm (123)
data_LaMgMo2
_space_group_name_H-M_alt 'P 1'
_space_group_IT_number 1
_space_group_name_Hall 'P 1'
_cell_length_a 2.803
_cell_length_b 2.803
_cell_length_c 10.031
_cell_angle_alpha 90.00
_cell_angle_beta 90.00
_cell_angle_gamma 90.02
loop_
_atom_site_label
_atom_site_type_symbol
_atom_site_fract_x
_atom_site_fract_y
_atom_site_fract_z
_atom_site_occupancy
La1 La 0.500 0.500 0.250 1
Mg1 Mg 0.500 0.500 0.750 1
Mo1 Mo 0.000 0.000 0.975 1
Mo2 Mo 0.000 0.000 0.525 1

=====

(3)
# Sm2MgCd2 | Alexandria | PBE | relaxed
# energy relative to the lowest polymorph listed for this composition	0.052	eV per atom
# ΔH_f (0 K)	-167	meV/atom
# SG	Immm (71)
data_Sm2MgCd2
_space_group_name_H-M_alt 'P 1'
_space_group_IT_number 1
_space_group_name_Hall 'P 1'
_cell_length_a 4.052
_cell_length_b 6.388
_cell_length_c 6.388
_cell_angle_alpha 64.22
_cell_angle_beta 71.51
_cell_angle_gamma 71.51
loop_
_atom_site_label
_atom_site_type_symbol
_atom_site_fract_x
_atom_site_fract_y
_atom_site_fract_z
_atom_site_occupancy
Sm1 Sm 0.219 0.281 0.281 1
Sm2 Sm 0.781 0.719 0.719 1
Mg1 Mg 0.000 0.000 0.000 1
Cd1 Cd 0.500 0.287 0.713 1
Cd2 Cd 0.500 0.713 0.287 1

=====

(4)
# AcPr9Mg2 | Alexandria | PBE | relaxed
# ΔH_f (0 K)	8	meV/atom
# SG	P4/mmm (123)
data_AcPr9Mg2
_space_group_name_H-M_alt 'P 1'
_space_group_IT_number 1
_space_group_name_Hall 'P 1'
_cell_length_a 5.167
_cell_length_b 5.167
_cell_length_c 15.528
_cell_angle_alpha 90.00
_cell_angle_beta 90.00
_cell_angle_gamma 90.00
loop_
_atom_site_label
_atom_site_type_symbol
_atom_site_fract_x
_atom_site_fract_y
_atom_site_fract_z
_atom_site_occupancy
Ac1 Ac 0.000 0.000 0.000 1
Pr1 Pr 0.500 0.500 0.000 1
Pr2 Pr 0.500 0.500 0.340 1
Pr3 Pr 0.500 0.500 0.660 1
Pr4 Pr 0.500 0.000 0.176 1
Pr5 Pr 0.500 0.000 0.500 1
Pr6 Pr 0.500 0.000 0.824 1
Pr7 Pr 0.000 0.500 0.176 1
Pr8 Pr 0.000 0.500 0.500 1
Pr9 Pr 0.000 0.500 0.824 1
Mg1 Mg 0.000 0.000 0.339 1
Mg2 Mg 0.000 0.000 0.661 1

=====

(5)
# TiCoHg3 | Alexandria | PBE | relaxed
# energy relative to the lowest polymorph listed for this composition	0.000	eV per atom
# ΔH_f (0 K)	794	meV/atom
# SG	Pm-3m (221)
data_TiCoHg3
_space_group_name_H-M_alt 'P 1'
_space_group_IT_number 1
_space_group_name_Hall 'P 1'
_cell_length_a 4.866
_cell_length_b 4.866
_cell_length_c 4.866
_cell_angle_alpha 90.00
_cell_angle_beta 90.00
_cell_angle_gamma 90.00
loop_
_atom_site_label
_atom_site_type_symbol
_atom_site_fract_x
_atom_site_fract_y
_atom_site_fract_z
_atom_site_occupancy
Co1 Co 0.000 0.000 0.000 1
Hg1 Hg 0.000 0.500 0.000 1
Hg2 Hg 0.000 0.000 0.500 1
Hg3 Hg 0.500 0.000 0.000 1
Ti1 Ti 0.500 0.500 0.500 1

=====

(6)
# K2RbHgS | Alexandria | PBE | relaxed
# SG	P4/mmm (123)
# formation energy (no corrections)	-0.589	eV per atom
data_K2RbHgS
_space_group_name_H-M_alt 'P 1'
_space_group_IT_number 1
_space_group_name_Hall 'P 1'
_cell_length_a 6.101
_cell_length_b 6.101
_cell_length_c 6.463
_cell_angle_alpha 90.00
_cell_angle_beta 90.00
_cell_angle_gamma 90.00
loop_
_atom_site_label
_atom_site_type_symbol
_atom_site_fract_x
_atom_site_fract_y
_atom_site_fract_z
_atom_site_occupancy
S1 S 0.000 0.000 0.000 1
K1 K 0.000 0.500 0.000 1
K2 K 0.500 0.000 0.000 1
Hg1 Hg 0.500 0.500 0.500 1
Rb1 Rb 0.000 0.000 0.500 1

=====

(7)
# Gd2SnO | Alexandria | PBE | relaxed
# energy relative to the lowest polymorph listed for this composition	0.000	eV per atom
# SG	R-3m (166)
# formation energy (no corrections)	-1.657	eV per atom
data_Gd2SnO
_space_group_name_H-M_alt 'P 1'
_space_group_IT_number 1
_space_group_name_Hall 'P 1'
_cell_length_a 3.603
_cell_length_b 3.603
_cell_length_c 7.941
_cell_angle_alpha 76.89
_cell_angle_beta 76.89
_cell_angle_gamma 60.00
loop_
_atom_site_label
_atom_site_type_symbol
_atom_site_fract_x
_atom_site_fract_y
_atom_site_fract_z
_atom_site_occupancy
Gd1 Gd 0.775 0.775 0.674 1
Gd2 Gd 0.225 0.225 0.326 1
Sn1 Sn 0.000 0.000 0.000 1
O1 O 0.500 0.500 0.500 1

=====

(8)
# CaSc2HgH | Alexandria | PBE | relaxed
# SG	P4/mmm (123)
data_CaSc2HgH
_space_group_name_H-M_alt 'P 1'
_space_group_IT_number 1
_space_group_name_Hall 'P 1'
_cell_length_a 4.534
_cell_length_b 4.534
_cell_length_c 4.832
_cell_angle_alpha 90.00
_cell_angle_beta 90.00
_cell_angle_gamma 90.00
loop_
_atom_site_label
_atom_site_type_symbol
_atom_site_fract_x
_atom_site_fract_y
_atom_site_fract_z
_atom_site_occupancy
Sc1 Sc 0.000 0.500 0.000 1
Sc2 Sc 0.500 0.000 0.000 1
H1 H 0.000 0.000 0.000 1
Ca1 Ca 0.000 0.000 0.500 1
Hg1 Hg 0.500 0.500 0.500 1

=====

(9)
# Tm2HfN | Alexandria | PBE | relaxed
# SG	R-3m (166)
# formation energy (no corrections)	-0.565	eV per atom
data_Tm2HfN
_space_group_name_H-M_alt 'P 1'
_space_group_IT_number 1
_space_group_name_Hall 'P 1'
_cell_length_a 3.285
_cell_length_b 3.285
_cell_length_c 9.212
_cell_angle_alpha 79.73
_cell_angle_beta 79.73
_cell_angle_gamma 60.00
loop_
_atom_site_label
_atom_site_type_symbol
_atom_site_fract_x
_atom_site_fract_y
_atom_site_fract_z
_atom_site_occupancy
Tm1 Tm 0.117 0.117 0.648 1
Tm2 Tm 0.883 0.883 0.352 1
Hf1 Hf 0.000 0.000 0.000 1
N1 N 0.500 0.500 0.500 1

=====

(10)
# Ho2PaNi | Alexandria | PBE | relaxed
# energy relative to the lowest polymorph listed for this composition	0.000	eV per atom
# ΔH_f (0 K)	-75	meV/atom
# SG	P4/mmm (123)
data_Ho2PaNi
_space_group_name_H-M_alt 'P 1'
_space_group_IT_number 1
_space_group_name_Hall 'P 1'
_cell_length_a 3.344
_cell_length_b 3.344
_cell_length_c 8.283
_cell_angle_alpha 90.00
_cell_angle_beta 90.00
_cell_angle_gamma 90.00
loop_
_atom_site_label
_atom_site_type_symbol
_atom_site_fract_x
_atom_site_fract_y
_atom_site_fract_z
_atom_site_occupancy
Ni1 Ni 0.500 0.500 0.000 1
Pa1 Pa 0.500 0.500 0.500 1
Ho1 Ho 0.000 0.000 0.800 1
Ho2 Ho 0.000 0.000 0.200 1

=====

(11)
# HgSbPd14 | Alexandria | PBE | relaxed
# SG	P4/mmm (123)
# formation energy (no corrections)	-0.136	eV per atom
data_HgSbPd14
_space_group_name_H-M_alt 'P 1'
_space_group_IT_number 1
_space_group_name_Hall 'P 1'
_cell_length_a 5.750
_cell_length_b 5.750
_cell_length_c 7.733
_cell_angle_alpha 90.00
_cell_angle_beta 90.00
_cell_angle_gamma 90.00
loop_
_atom_site_label
_atom_site_type_symbol
_atom_site_fract_x
_atom_site_fract_y
_atom_site_fract_z
_atom_site_occupancy
Hg1 Hg 0.375 0.375 0.500 1
Sb1 Sb 0.875 0.875 0.500 1
Pd1 Pd 0.875 0.875 0.000 1
Pd2 Pd 0.375 0.375 0.000 1
Pd3 Pd 0.875 0.375 0.500 1
Pd4 Pd 0.875 0.375 0.000 1
Pd5 Pd 0.375 0.875 0.500 1
Pd6 Pd 0.375 0.875 0.000 1
Pd7 Pd 0.628 0.122 0.248 1
Pd8 Pd 0.628 0.122 0.752 1
Pd9 Pd 0.122 0.628 0.248 1
Pd10 Pd 0.122 0.628 0.752 1
Pd11 Pd 0.628 0.628 0.248 1
Pd12 Pd 0.628 0.628 0.752 1
Pd13 Pd 0.122 0.122 0.248 1
Pd14 Pd 0.122 0.122 0.752 1

=====

(12)
# Y4Si2S3O7 | Alexandria | PBE | relaxed
# SG	I4_1/amd (141)
# formation energy (no corrections)	-2.850	eV per atom
data_Y4Si2S3O7
_space_group_name_H-M_alt 'P 1'
_space_group_IT_number 1
_space_group_name_Hall 'P 1'
_cell_length_a 10.784
_cell_length_b 10.784
_cell_length_c 10.784
_cell_angle_alpha 100.93
_cell_angle_beta 113.90
_cell_angle_gamma 113.90
loop_
_atom_site_label
_atom_site_type_symbol
_atom_site_fract_x
_atom_site_fract_y
_atom_site_fract_z
_atom_site_occupancy
Y1 Y 0.236 0.033 0.269 1
Y2 Y 0.736 0.019 0.283 1
Y3 Y 0.264 0.548 0.283 1
Y4 Y 0.764 0.033 0.798 1
Y5 Y 0.264 0.717 0.981 1
Y6 Y 0.764 0.731 0.967 1
Y7 Y 0.236 0.202 0.967 1
Y8 Y 0.736 0.717 0.452 1
Y9 Y 0.656 0.328 0.328 1
Y10 Y 0.000 0.672 0.328 1
Y11 Y 0.156 0.078 0.578 1
Y12 Y 0.500 0.422 0.578 1
Y13 Y 0.000 0.328 0.672 1
Y14 Y 0.344 0.672 0.672 1
Y15 Y 0.500 0.078 0.922 1
Y16 Y 0.844 0.422 0.922 1
Si1 Si 0.125 0.279 0.404 1
Si2 Si 0.625 0.154 0.529 1
Si3 Si 0.375 0.904 0.529 1
Si4 Si 0.875 0.279 0.154 1
Si5 Si 0.375 0.471 0.846 1
Si6 Si 0.875 0.596 0.721 1
Si7 Si 0.125 0.846 0.721 1
Si8 Si 0.625 0.471 0.096 1
S1 S 0.896 0.021 0.625 1
S2 S 0.604 0.729 0.625 1
S3 S 0.396 0.375 0.271 1
S4 S 0.896 0.875 0.271 1
S5 S 0.396 0.021 0.125 1
S6 S 0.104 0.729 0.125 1
S7 S 0.104 0.375 0.979 1
S8 S 0.604 0.875 0.979 1
S9 S 0.000 0.000 0.000 1
S10 S 0.500 0.750 0.250 1
S11 S 0.500 0.250 0.750 1
S12 S 0.000 0.500 0.500 1
O1 O 0.018 0.210 0.474 1
O2 O 0.264 0.456 0.474 1
O3 O 0.518 0.224 0.460 1
O4 O 0.236 0.942 0.460 1
O5 O 0.736 0.210 0.192 1
O6 O 0.982 0.456 0.192 1
O7 O 0.764 0.224 0.706 1
O8 O 0.482 0.942 0.706 1
O9 O 0.482 0.540 0.776 1
O10 O 0.236 0.294 0.776 1
O11 O 0.982 0.526 0.790 1
O12 O 0.264 0.808 0.790 1
O13 O 0.764 0.540 0.058 1
O14 O 0.518 0.294 0.058 1
O15 O 0.736 0.526 0.544 1
O16 O 0.018 0.808 0.544 1
O17 O 0.232 0.201 0.433 1
O18 O 0.732 0.183 0.451 1
O19 O 0.268 0.719 0.451 1
O20 O 0.768 0.201 0.969 1
O21 O 0.268 0.549 0.817 1
O22 O 0.768 0.567 0.799 1
O23 O 0.232 0.031 0.799 1
O24 O 0.732 0.549 0.281 1
O25 O 0.000 0.226 0.226 1
O26 O 0.500 0.976 0.476 1
O27 O 0.500 0.524 0.024 1
O28 O 0.000 0.774 0.774 1

=====

How do the records compare in electronic total energy? In the order shown, they have -2.563; -6.459; -2.739; -4.185; -2.387; -2.107; -10.937; -3.900; -7.370; -6.183; -4.956; -8.087 eV per atom.
How do the records compare in DOS(E_F)? In the order shown, they have 1.27; 0.63; 1.39; 1.49; 2.99; 0.66; 0.60; 0.93; 1.03; 1.27; 1.83; 0.00 states/eV/atom.
How do the records compare in volume? In the order shown, they have 626.1; 78.8; 138.1; 414.6; 115.2; 240.6; 86.2; 99.3; 84.3; 92.6; 255.7; 949.6 Å³ per cell.